No. 1
{"formula": "TlFeAsO4", "functional": "PBE with a Hubbard U", "state": "optimized geometry", "total_magnetization_mub_per_atom": 0.57, "final_energy_ev_per_atom": -5.8342, "spacegroup": "P2_1/m", "lattice": [[-5.3328, -1.5992, -0.0749], [0.9314, -3.3289, 4.7591], [0.4650, 6.1957, 4.2428]], "species": ["Tl", "Tl", "Fe", "Fe", "As", "As", "O", "O", "O", "O", "O", "O", "O", "O"], "frac_coords": [[0.6921, 0.7500, 0.9281], [0.3079, 0.2500, 0.0719], [0.8139, 0.7500, 0.4742], [0.1861, 0.2500, 0.5258], [0.2635, 0.7500, 0.3557], [0.7365, 0.2500, 0.6443], [0.9481, 0.4738, 0.6636], [0.0519, 0.9738, 0.3364], [0.0519, 0.5262, 0.3364], [0.9481, 0.0262, 0.6636], [0.4365, 0.7500, 0.2011], [0.5635, 0.2500, 0.7989], [0.4895, 0.7500, 0.5705], [0.5105, 0.2500, 0.4295]]}

No. 2
{"formula": "Tl3FeAs2O8", "functional": "PBE with a Hubbard U", "state": "optimized geometry", "total_magnetization_mub_per_atom": 0.35, "final_energy_ev_per_atom": -5.5314, "spacegroup": "P-3m1", "lattice": [[-5.6472, -0.5377, 0.2977], [3.2748, -4.6222, -0.4232], [0.4746, -0.4188, 8.2461]], "species": ["Tl", "Tl", "Tl", "Fe", "As", "As", "O", "O", "O", "O", "O", "O", "O", "O"], "frac_coords": [[0.3333, 0.6667, 0.7689], [0.6667, 0.3333, 0.2311], [0.0000, 0.0000, 0.0000], [0.0000, 0.0000, 0.5000], [0.3333, 0.6667, 0.2905], [0.6667, 0.3333, 0.7095], [0.3333, 0.6667, 0.0846], [0.6667, 0.3333, 0.9154], [0.1654, 0.8346, 0.3520], [0.8346, 0.1654, 0.6480], [0.1654, 0.3309, 0.3520], [0.8346, 0.6691, 0.6480], [0.6691, 0.8346, 0.3520], [0.3309, 0.1654, 0.6480]]}

No. 3
{"formula": "TmFeAs2O8", "functional": "PBE with a Hubbard U", "state": "optimized geometry", "total_magnetization_mub_per_atom": 0.42, "final_energy_ev_per_atom": -6.6952, "spacegroup": "I-4m2", "lattice": [[-0.7728, -5.3771, 1.9680], [3.6360, 3.2460, 3.1027], [-5.1523, 2.6062, 0.2131]], "species": ["Tm", "Fe", "As", "As", "O", "O", "O", "O", "O", "O", "O", "O"], "frac_coords": [[0.0000, 0.0000, 0.0000], [0.2500, 0.7500, 0.5000], [0.7500, 0.2500, 0.5000], [0.5000, 0.5000, 0.0000], [0.3798, 0.0605, 0.3192], [0.3175, 0.5067, 0.1893], [0.3175, 0.1282, 0.8107], [0.7413, 0.0605, 0.6808], [0.8718, 0.6825, 0.1893], [0.9395, 0.2587, 0.3192], [0.9395, 0.6202, 0.6808], [0.4933, 0.6825, 0.8107]]}

No. 4
{"formula": "VFe2AsO6", "functional": "PBE with a Hubbard U", "state": "optimized geometry", "total_magnetization_mub_per_atom": 0.40, "final_energy_ev_per_atom": -6.6171, "spacegroup": "P1", "lattice": [[-2.8172, 0.5336, -4.2694], [-2.2594, -4.0856, -2.0513], [-5.7504, -0.2408, 0.6511]], "species": ["V", "Fe", "Fe", "As", "O", "O", "O", "O", "O", "O"], "frac_coords": [[0.8197, 0.8047, 0.5678], [0.5059, 0.5146, 0.4658], [0.0158, 0.0141, 0.9550], [0.2989, 0.2967, 0.1097], [0.5960, 0.2116, 0.2587], [0.1970, 0.9415, 0.2560], [0.9402, 0.6047, 0.2553], [0.4513, 0.7671, 0.7089], [0.7741, 0.0629, 0.7183], [0.0627, 0.4437, 0.7196]]}

No. 5
{"formula": "YFeAs2O8", "functional": "PBE with a Hubbard U", "state": "optimized geometry", "total_magnetization_mub_per_atom": 0.42, "final_energy_ev_per_atom": -6.8322, "spacegroup": "I-4m2", "lattice": [[-3.1168, -0.5747, 4.8895], [5.7798, -0.3550, 0.6476], [-1.1121, 5.3374, -2.0559]], "species": ["Y", "Fe", "As", "As", "O", "O", "O", "O", "O", "O", "O", "O"], "frac_coords": [[0.0000, 0.0000, 0.0000], [0.2500, 0.7500, 0.5000], [0.7500, 0.2500, 0.5000], [0.5000, 0.5000, 0.0000], [0.3816, 0.0597, 0.3220], [0.3204, 0.5097, 0.1893], [0.3204, 0.1310, 0.8107], [0.7377, 0.0597, 0.6780], [0.8690, 0.6796, 0.1893], [0.9403, 0.2623, 0.3220], [0.9403, 0.6184, 0.6780], [0.4903, 0.6796, 0.8107]]}

No. 6
{"formula": "ZnFe2AsO4", "functional": "PBE with a Hubbard U", "state": "optimized geometry", "total_magnetization_mub_per_atom": 0.97, "final_energy_ev_per_atom": -5.6418, "spacegroup": "C2/c", "lattice": [[6.0451, -0.1842, -0.3273], [-0.1884, 6.0450, -0.3273], [-3.1519, -3.1541, 5.5223]], "species": ["Zn", "Zn", "Fe", "Fe", "Fe", "Fe", "As", "As", "O", "O", "O", "O", "O", "O", "O", "O"], "frac_coords": [[0.0000, 0.5000, 0.0000], [0.0000, 0.5000, 0.5000], [0.5000, 0.0000, 0.0000], [0.5000, 0.0000, 0.5000], [0.0000, 0.0000, 0.5000], [0.5000, 0.5000, 0.0000], [0.5000, 0.5000, 0.5000], [0.0000, 0.0000, 0.0000], [0.2449, 0.7599, 0.0406], [0.7401, 0.2551, 0.4594], [0.2599, 0.7449, 0.5406], [0.7551, 0.2401, 0.9594], [0.7982, 0.8331, 0.1088], [0.6669, 0.7018, 0.3912], [0.3331, 0.2982, 0.6088], [0.2018, 0.1669, 0.8912]]}

No. 7
{"formula": "Zn2FeAsO6", "functional": "PBE with a Hubbard U", "state": "optimized geometry", "total_magnetization_mub_per_atom": 0.10, "final_energy_ev_per_atom": -5.4964, "spacegroup": "C2/c", "lattice": [[5.0988, -0.3895, -0.4042], [1.1567, 6.3958, 0.3285], [1.1567, 0.0912, 6.4035]], "species": ["Zn", "Zn", "Zn", "Zn", "Fe", "Fe", "As", "As", "O", "O", "O", "O", "O", "O", "O", "O", "O", "O", "O", "O"], "frac_coords": [[0.2003, 0.7839, 0.5884], [0.2997, 0.4116, 0.2161], [0.7997, 0.2161, 0.4116], [0.7003, 0.5884, 0.7839], [0.2500, 0.9146, 0.0854], [0.7500, 0.0854, 0.9146], [0.2500, 0.2614, 0.7386], [0.7500, 0.7386, 0.2614], [0.1135, 0.9845, 0.8101], [0.3865, 0.1899, 0.0155], [0.8865, 0.0155, 0.1899], [0.6135, 0.8101, 0.9845], [0.4182, 0.8647, 0.3371], [0.0818, 0.6629, 0.1353], [0.5818, 0.1353, 0.6629], [0.9182, 0.3371, 0.8647], [0.8485, 0.7305, 0.5207], [0.6515, 0.4793, 0.2695], [0.1515, 0.2695, 0.4793], [0.3485, 0.5207, 0.7305]]}

No. 8
{"formula": "ZnFeAs2O6", "functional": "PBE with a Hubbard U", "state": "optimized geometry", "total_magnetization_mub_per_atom": 0.40, "final_energy_ev_per_atom": -5.7580, "spacegroup": "C2/c", "lattice": [[5.1877, -0.1262, -0.1310], [1.6092, 6.8595, 0.1234], [1.6092, -0.1309, 6.8594]], "species": ["Zn", "Zn", "Fe", "Fe", "As", "As", "As", "As", "O", "O", "O", "O", "O", "O", "O", "O", "O", "O", "O", "O"], "frac_coords": [[0.2500, 0.3864, 0.6136], [0.7500, 0.6136, 0.3864], [0.2500, 0.9047, 0.0953], [0.7500, 0.0953, 0.9047], [0.1494, 0.8657, 0.5683], [0.3506, 0.4317, 0.1343], [0.8506, 0.1343, 0.4317], [0.6494, 0.5683, 0.8657], [0.1335, 0.9563, 0.7966], [0.3665, 0.2034, 0.0437], [0.8665, 0.0437, 0.2034], [0.6335, 0.7966, 0.9563], [0.4242, 0.8428, 0.3768], [0.0758, 0.6232, 0.1572], [0.5758, 0.1572, 0.6232], [0.9242, 0.3768, 0.8428], [0.9846, 0.6723, 0.5839], [0.5154, 0.4161, 0.3277], [0.0154, 0.3277, 0.4161], [0.4846, 0.5839, 0.6723]]}